Material: Cu2AgBi2
Method: DFT, PBE
State: relaxed

a = 7.1024 Å, b = 7.1024 Å, c = 4.1106 Å
α = 90.00°, β = 90.00°, γ = 90.00°
With the nearest neighbours (Å) after each atom.
Positions (direct):
Ag 0.5000 0.5000 0.0000  4 Cu 2.80
Bi 0.8247 0.3247 0.5000  6 Cu 2.87-2.99
Bi 0.6753 0.8247 0.5000  6 Cu 2.87-2.99
Bi 0.3247 0.1753 0.5000  6 Cu 2.87-2.99
Cu 0.3744 0.8744 0.0000  1 Cu 2.52, 2 Ag 2.80
Ag 0.0000 0.0000 0.0000  4 Cu 2.80
Cu 0.6256 0.1256 0.0000  1 Cu 2.52, 2 Ag 2.80
Cu 0.8744 0.6256 0.0000  1 Cu 2.52, 2 Ag 2.80
Cu 0.1256 0.3744 0.0000  1 Cu 2.52, 2 Ag 2.80
Bi 0.1753 0.6753 0.5000  6 Cu 2.87-2.99

Its electronic total energy is -3.59 eV/atom. The symmetry is P4/mbm.